Run A
## Th3UC4 (PBE)

Data for an optimized crystal structure of Th3UC4.

Calculated values
crystal system = orthorhombic

Cell and atoms, written as POSCAR:
```
Th3UC4
1.0
-3.376 -0.701 -1.326
-1.431 -3.245 5.359
-1.574 6.187 0.735
Th U C
3 1 4
Direct
0.000 0.000 0.500
0.500 0.500 0.500
0.000 0.500 0.000
0.500 0.000 0.000
0.000 0.219 0.219
0.500 0.767 0.233
0.000 0.781 0.781
0.500 0.233 0.767
```


Run B
## Th3UC4 (PBE)

Data for an optimized crystal structure of Th3UC4.

Calculated values
crystal system = monoclinic

Cell and atoms, written as POSCAR:
```
Th3UC4
1.0
6.394 0.066 0.000
-2.179 6.030 0.000
0.000 0.000 7.431
C U Th
8 2 6
Direct
0.976 0.234 0.650
0.508 0.219 0.890
0.476 0.234 0.350
0.008 0.219 0.110
0.992 0.781 0.890
0.524 0.766 0.650
0.492 0.781 0.110
0.024 0.766 0.350
0.750 0.000 0.875
0.250 0.000 0.125
0.750 0.000 0.374
0.250 0.000 0.626
0.750 0.500 0.624
0.750 0.500 0.124
0.250 0.500 0.376
0.250 0.500 0.876
```


What is the stability order? It is run B, run A, from most stable to least stable.


Run A
## ThVC (PBE)

Data for an optimized crystal structure of ThVC.

Calculated values
crystal system = trigonal

Cell and atoms, written as POSCAR:
```
ThVC
1.0
5.621 0.000 0.000
0.000 3.268 0.000
0.000 -1.634 2.830
C Th V
1 1 1
Direct
0.059 0.000 0.000
0.737 0.667 0.333
0.204 0.333 0.667
```


Run B
## ThVC (PBE)

Data for an optimized crystal structure of ThVC.

Calculated values
crystal system = orthorhombic

Cell and atoms, written as POSCAR:
```
ThVC
1.0
-0.363 -2.868 -2.096
-1.522 -2.785 4.074
-5.253 1.400 -1.006
C V Th
2 2 2
Direct
0.000 0.867 0.367
0.500 0.133 0.867
0.000 0.087 0.061
0.500 0.913 0.561
0.500 0.604 0.080
0.000 0.396 0.580
```


What is the stability order? It is run B, run A, from most stable to least stable.


Run A
## ThWC (PBE)

Data for an optimized crystal structure of ThWC.

Calculated values
crystal system = trigonal

Cell and atoms, written as POSCAR:
```
ThWC
1.0
-3.130 0.551 -3.504
0.971 -3.222 -1.374
-2.691 0.200 2.435
C W Th
1 1 1
Direct
0.132 0.000 0.000
0.169 0.333 0.667
0.699 0.667 0.333
```


Run B
## ThWC (PBE)

Data for an optimized crystal structure of ThWC.

Calculated values
crystal system = monoclinic

Cell and atoms, written as POSCAR:
```
ThWC
1.0
3.351 0.000 0.000
0.000 5.777 -0.461
-1.675 -2.155 5.844
C Th W
2 2 2
Direct
0.245 0.762 0.490
0.755 0.238 0.510
0.893 0.696 0.786
0.107 0.304 0.214
0.341 0.162 0.682
0.659 0.838 0.318
```


What is the stability order? It is run B, run A, from most stable to least stable.


Run A
## ThWC2 (PBE)

Data for an optimized crystal structure of ThWC2.

Calculated values
crystal system = tetragonal

Cell and atoms, written as POSCAR:
```
ThWC2
1.0
3.241 0.001 0.000
-0.001 3.241 -0.001
-1.621 -1.619 5.702
Th W C
1 1 2
Direct
0.222 0.881 0.228
0.472 0.631 0.728
0.861 0.521 0.507
0.582 0.242 0.950
```


Run B
## ThWC2 (PBE)

Data for an optimized crystal structure of ThWC2.

Calculated values
crystal system = trigonal

Cell and atoms, written as POSCAR:
```
ThWC2
1.0
-1.360 1.265 -2.758
0.889 -1.174 -2.981
-4.357 -3.869 -1.630
C W Th
2 1 1
Direct
0.267 0.267 0.200
0.733 0.733 0.800
0.000 0.000 0.000
0.500 0.500 0.500
```


What is the stability order? It is run B, run A, from most stable to least stable.